12
Lattice="4.3993 0.0000 0.0000 0.0000 8.8937 0.2947 -2.1996 -2.5861 9.3109" Properties=species:S:1:pos:R:3 comment="Pm3Y2PuTe6 PBE optimized geometry" formation_energy_uncorrected_mev_per_atom=-1340 sg=C2/m magmom_total_mub_per_cell=6.1 dos_ef_per_ev_cell=12.597 pbc="T T T"
Pm 0.0000 6.5612 3.3267
Pm 2.1996 -0.2536 6.2789
Pm 2.1996 4.4469 0.1473
Te 2.1996 -0.0770 3.1262
Te 2.1996 4.2608 3.3375
Te 0.0000 6.3846 6.4794
Te 0.0000 2.1999 0.0959
Te 2.1996 4.1077 9.5097
Te 0.0000 2.0468 6.2681
Y 2.1996 4.2352 6.4654
Y 0.0000 2.0725 3.1402
Pu 2.1996 0.0000 0.0000

---

9
Lattice="6.8778 1.1758 2.7793 -0.1666 6.4180 -2.3030 3.8578 -0.5398 8.3169" Properties=species:S:1:pos:R:3 comment="PmPu2Th6 PBE optimized geometry" sg=C2/m ef_ev_per_atom=0.2520 magmom_total_mub_per_cell=12.3 dos_ef_per_ev_cell=18.347 pbc="T T T"
Pu 6.6887 5.7539 5.4509
Pu 3.8803 1.3001 3.3423
Pm 0.0000 0.0000 0.0000
Th 8.7914 4.6248 7.4056
Th 5.4938 2.3127 6.0477
Th 8.8714 1.5451 8.5107
Th 1.6976 5.5090 0.2826
Th 5.0753 4.7413 2.7456
Th 1.7776 2.4293 1.3877